[1]
4
Lattice="-2.504 3.845 -0.045 -2.646 2.745 -2.553 -4.263 -1.863 1.058" Properties=species:S:1:pos:R:3 comment="PBE NiOs2W, optimized geometry" magmom_total_mub_per_fu=0.0 de_polymorph_ev_per_fu=0.28 space_group=C2/m ef_ev_per_atom=0.086 pbc="T T T"
Os -5.225 6.547 -2.575
Os -4.632 2.406 -0.793
W -7.060 3.545 -1.155
Ni -2.353 1.182 -0.385

---

[2]
4
Lattice="-0.444 0.794 -2.597 0.856 -2.455 -0.900 -7.161 -2.649 0.414" Properties=species:S:1:pos:R:3 comment="PBE NiOsW2, optimized geometry" magmom_total_mub_per_fu=0.0 de_polymorph_ev_per_fu=0.32 space_group=P4/mmm ef_ev_per_atom=0.088 pbc="T T T"
W -3.533 -1.307 0.204
W -0.047 -0.018 0.003
Os -5.165 -2.817 -1.438
Ni -1.584 -1.493 -1.645

---

[3]
6
Lattice="-2.152 1.744 -0.053 -0.064 -0.209 -4.320 -3.270 -6.224 0.350" Properties=species:S:1:pos:R:3 comment="PBE NiOsW, optimized geometry" magmom_total_mub_per_fu=0.0 de_polymorph_ev_per_fu=0.00 space_group=Cmcm ef_ev_per_atom=0.001 pbc="T T T"
Ni -3.897 -4.832 -0.791
Ni -1.589 0.142 -3.232
W -0.931 -1.179 -1.012
W -4.555 -3.510 -3.011
Os -3.527 -2.179 -0.925
Os -1.959 -2.510 -3.098

---

[4]
4
Lattice="-3.566 3.079 0.458 -4.655 0.454 0.728 -0.132 0.526 4.599" Properties=species:S:1:pos:R:3 comment="PBE NiOsW2, optimized geometry" magmom_total_mub_per_fu=0.0 de_polymorph_ev_per_fu=0.77 space_group=C2/m ef_ev_per_atom=0.200 pbc="T T T"
W -0.147 0.530 4.578
W -4.162 2.025 2.913
Ni -6.265 3.044 4.339
Os -2.088 1.015 1.446

---

[5]
4
Lattice="4.357 0.000 0.000 2.179 3.774 0.000 2.179 1.258 3.558" Properties=species:S:1:pos:R:3 comment="PBE NiOsW2, optimized geometry" magmom_total_mub_per_fu=0.0 de_polymorph_ev_per_fu=0.88 space_group=F-43m ef_ev_per_atom=0.228 pbc="T T T"
W 0.000 0.000 0.000
W 6.536 3.774 2.668
Os 2.179 1.258 0.889
Ni 4.357 2.516 1.779

---

[6]
3
Lattice="-3.980 0.756 -2.299 -0.970 -2.560 -3.769 0.931 -0.008 4.564" Properties=species:S:1:pos:R:3 comment="PBE NiOsW, optimized geometry" magmom_total_mub_per_fu=0.0 de_polymorph_ev_per_fu=0.13 space_group=Imm2 ef_ev_per_atom=0.045 pbc="T T T"
Ni -4.937 -1.799 -6.051
W -3.297 -1.202 -4.041
Os -1.667 -0.607 -2.043

---

[7]
4
Lattice="3.833 0.000 0.000 0.000 2.724 0.009 0.000 2.693 5.385" Properties=species:S:1:pos:R:3 comment="PBE NiOs2W, optimized geometry" magmom_total_mub_per_fu=0.0 de_polymorph_ev_per_fu=0.23 space_group=Pm ef_ev_per_atom=0.073 pbc="T T T"
Os 1.917 1.356 1.296
Os 0.000 2.691 5.354
W 0.000 2.711 2.760
Ni 1.917 4.062 4.067

---

[8]
4
Lattice="-1.250 -1.129 -2.171 1.781 -2.092 0.062 -4.710 -3.872 4.724" Properties=species:S:1:pos:R:3 comment="PBE NiOsW2, optimized geometry" magmom_total_mub_per_fu=0.0 de_polymorph_ev_per_fu=0.71 space_group=P4mm ef_ev_per_atom=0.184 pbc="T T T"
Os -3.217 -4.473 2.439
W -4.638 -3.813 4.653
W -1.011 -2.660 0.226
Ni -2.376 -1.953 2.383

---

[9]
4
Lattice="2.730 0.000 0.000 0.000 2.730 0.000 0.000 0.000 7.567" Properties=species:S:1:pos:R:3 comment="PBE NiOs2W, optimized geometry" magmom_total_mub_per_fu=0.0 de_polymorph_ev_per_fu=0.44 space_group=P4mm ef_ev_per_atom=0.124 pbc="T T T"
Ni 1.365 1.365 5.682
Os 0.000 0.000 7.551
Os 1.365 1.365 1.775
W 0.000 0.000 3.909

---

[10]
4
Lattice="-1.250 -0.867 4.466 -1.989 -4.264 0.360 4.035 1.478 -1.948" Properties=species:S:1:pos:R:3 comment="PBE NiOs2W, optimized geometry" magmom_total_mub_per_fu=0.0 de_polymorph_ev_per_fu=0.25 space_group=I-4m2 ef_ev_per_atom=0.078 pbc="T T T"
Os 0.213 -2.676 0.413
Os 0.000 0.000 0.000
Ni 0.583 -0.977 2.466
W -1.620 -2.565 2.413

---

[11]
6
Lattice="0.000 3.300 3.300 3.300 0.000 3.300 3.300 3.300 0.000" Properties=species:S:1:pos:R:3 comment="PBE Ni4OsW, optimized geometry" magmom_total_mub_per_fu=1.6 space_group=F-43m ef_ev_per_atom=0.001 pbc="T T T"
Os 4.950 4.950 4.950
Ni 2.477 4.124 4.124
Ni 4.124 2.477 4.124
Ni 2.477 2.477 2.477
Ni 4.124 4.124 2.477
W 0.000 0.000 0.000

---

[12]
4
Lattice="-1.043 2.819 -0.873 -0.993 0.537 2.919 5.136 2.310 1.323" Properties=species:S:1:pos:R:3 comment="PBE NiOs2W, optimized geometry" magmom_total_mub_per_fu=0.0 de_polymorph_ev_per_fu=1.23 space_group=P4mm ef_ev_per_atom=0.323 pbc="T T T"
Os 4.968 2.234 1.279
Os 0.337 2.287 1.372
W 2.705 1.216 0.697
Ni 2.793 3.392 2.004

---

[13]
4
Lattice="4.320 0.000 0.000 2.160 3.742 0.000 2.160 1.247 3.528" Properties=species:S:1:pos:R:3 comment="PBE NiOs2W, optimized geometry" magmom_total_mub_per_fu=0.0 de_polymorph_ev_per_fu=1.52 space_group=F-43m ef_ev_per_atom=0.394 pbc="T T T"
Os 6.481 3.742 2.646
Os 0.000 0.000 0.000
W 2.160 1.247 0.882
Ni 4.320 2.494 1.764

---

[14]
3
Lattice="-0.188 -4.331 -1.857 3.525 -1.878 -2.508 -0.779 2.258 4.067" Properties=species:S:1:pos:R:3 comment="PBE NiOsW, optimized geometry" magmom_total_mub_per_fu=0.0 de_polymorph_ev_per_fu=0.28 space_group=I4mm ef_ev_per_atom=0.094 pbc="T T T"
W 2.210 -4.111 -2.890
Os 1.108 -2.062 -1.450
Ni 0.019 -0.036 -0.025

---

[15]
4
Lattice="-2.908 2.346 -0.205 -1.317 -1.338 3.377 2.044 2.696 1.865" Properties=species:S:1:pos:R:3 comment="PBE NiOs2W, optimized geometry" magmom_total_mub_per_fu=0.0 de_polymorph_ev_per_fu=0.00 space_group=P4/mmm ef_ev_per_atom=0.015 pbc="T T T"
Os 0.000 0.000 0.000
Os 0.363 0.679 2.621
W -2.112 0.504 1.586
Ni -0.432 2.521 0.830

---

[16]
4
Lattice="3.847 0.000 0.000 0.000 2.781 0.015 0.000 2.784 5.435" Properties=species:S:1:pos:R:3 comment="PBE NiOsW2, optimized geometry" magmom_total_mub_per_fu=0.0 de_polymorph_ev_per_fu=0.19 space_group=P2/m ef_ev_per_atom=0.054 pbc="T T T"
W 0.000 2.779 0.025
W 0.000 2.785 2.714
Ni 1.924 1.391 1.362
Os 1.924 4.174 4.087

---

[17]
4
Lattice="-0.407 0.912 -2.824 -3.368 0.157 0.536 0.520 5.422 1.676" Properties=species:S:1:pos:R:3 comment="PBE NiOsW2, optimized geometry" magmom_total_mub_per_fu=0.0 de_polymorph_ev_per_fu=0.48 space_group=Pmm2 ef_ev_per_atom=0.128 pbc="T T T"
W -1.741 2.061 -0.672
W 0.514 5.362 1.657
Os -1.504 4.536 0.093
Ni 0.256 2.666 0.824

---

[18]
8
Lattice="-0.321 -1.681 -3.368 3.754 -0.388 -0.164 1.085 -8.807 2.175" Properties=species:S:1:pos:R:3 comment="PBE NiOs2W, optimized geometry" magmom_total_mub_per_fu=0.0 de_polymorph_ev_per_fu=2.63 space_group=I-42d ef_ev_per_atom=0.672 pbc="T T T"
Os 0.555 -3.221 -1.421
Os 3.639 -8.397 -1.451
Os 2.280 -7.400 0.299
Os 2.562 -2.735 -0.140
W 1.240 -5.761 -1.480
W 0.000 0.000 0.000
Ni 1.717 -1.035 -1.766
Ni 3.278 -5.115 0.122

---

[19]
4
Lattice="-1.560 -3.965 -0.942 0.724 -3.333 2.722 -3.289 -1.663 2.337" Properties=species:S:1:pos:R:3 comment="PBE NiOsW2, optimized geometry" magmom_total_mub_per_fu=0.0 de_polymorph_ev_per_fu=1.26 space_group=Fm-3m ef_ev_per_atom=0.321 pbc="T T T"
Ni 0.000 0.000 0.000
W -1.031 -2.240 1.029
W -3.093 -6.721 3.088
Os -2.062 -4.481 2.059

---

[20]
4
Lattice="4.702 -0.001 0.001 3.901 2.625 0.001 0.777 0.237 4.583" Properties=species:S:1:pos:R:3 comment="PBE NiOs2W, optimized geometry" magmom_total_mub_per_fu=0.0 de_polymorph_ev_per_fu=0.44 space_group=Cm ef_ev_per_atom=0.125 pbc="T T T"
Os 7.020 2.141 3.524
Os 0.793 0.242 4.534
Ni 2.352 0.717 1.155
W 4.682 1.428 2.246

---

[21]
3
Lattice="4.137 0.000 0.000 2.068 3.582 0.000 2.068 1.194 3.378" Properties=species:S:1:pos:R:3 comment="PBE NiOsW, optimized geometry" magmom_total_mub_per_fu=0.0 de_polymorph_ev_per_fu=1.60 space_group=F-43m ef_ev_per_atom=0.533 pbc="T T T"
Os 4.137 2.388 1.689
Ni 0.000 0.000 0.000
W 6.205 3.582 2.533

---

[22]
4
Lattice="3.861 0.000 0.000 0.000 3.860 0.000 0.000 0.000 3.864" Properties=species:S:1:pos:R:3 comment="PBE NiOsW2, optimized geometry" magmom_total_mub_per_fu=0.0 de_polymorph_ev_per_fu=0.00 space_group=P4/mmm ef_ev_per_atom=0.007 pbc="T T T"
Os 0.000 1.930 1.932
Ni 1.931 0.000 1.932
W 0.000 0.000 0.000
W 1.931 1.930 0.000

---

[23]
3
Lattice="5.869 0.017 -0.018 5.219 2.685 0.013 0.650 0.128 2.665" Properties=species:S:1:pos:R:3 comment="PBE NiOsW, optimized geometry" magmom_total_mub_per_fu=0.0 de_polymorph_ev_per_fu=0.47 space_group=I4mm ef_ev_per_atom=0.158 pbc="T T T"
Os 4.165 0.995 1.766
W 7.586 1.839 0.891
Ni 11.075 2.699 -0.002

---

[24]
4
Lattice="4.756 0.000 0.000 -2.315 4.680 -0.003 0.126 0.769 2.567" Properties=species:S:1:pos:R:3 comment="PBE NiOs2W, optimized geometry" magmom_total_mub_per_fu=0.0 de_polymorph_ev_per_fu=1.20 space_group=C2/m ef_ev_per_atom=0.315 pbc="T T T"
Os 0.000 0.000 0.000
Os 2.441 0.385 1.284
Ni 1.220 2.340 -0.002
W -1.095 2.725 1.282

---

[25]
4
Lattice="4.686 -0.001 0.006 3.833 2.695 0.006 0.848 0.268 4.624" Properties=species:S:1:pos:R:3 comment="PBE NiOsW2, optimized geometry" magmom_total_mub_per_fu=0.0 de_polymorph_ev_per_fu=0.42 space_group=Cm ef_ev_per_atom=0.111 pbc="T T T"
Ni 4.704 1.488 2.390
W 7.055 2.232 3.343
W 8.503 2.690 0.098
Os 2.305 0.729 1.136

---

[26]
4
Lattice="0.000 3.051 3.051 3.051 0.000 3.051 3.051 3.051 0.000" Properties=species:S:1:pos:R:3 comment="PBE NiOs2W, optimized geometry" magmom_total_mub_per_fu=0.0 de_polymorph_ev_per_fu=0.71 space_group=Fm-3m ef_ev_per_atom=0.192 pbc="T T T"
Ni 0.000 0.000 0.000
Os 4.577 4.577 4.577
Os 1.526 1.526 1.526
W 3.051 3.051 3.051

---

[27]
5
Lattice="4.380 0.000 0.000 0.000 4.380 0.000 0.000 0.000 4.380" Properties=species:S:1:pos:R:3 comment="PBE Ni3OsW, optimized geometry" magmom_total_mub_per_fu=0.0 de_polymorph_ev_per_fu=0.00 space_group=Pm-3m ef_ev_per_atom=1.869 pbc="T T T"
W 2.190 2.190 2.190
Ni 0.000 0.000 2.190
Ni 2.190 0.000 0.000
Ni 0.000 2.190 0.000
Os 0.000 0.000 0.000

---

[28]
4
Lattice="2.732 0.000 0.000 0.000 3.789 0.000 0.000 0.000 5.449" Properties=species:S:1:pos:R:3 comment="PBE NiOs2W, optimized geometry" magmom_total_mub_per_fu=0.0 de_polymorph_ev_per_fu=0.36 space_group=Pmmm ef_ev_per_atom=0.106 pbc="T T T"
Os 0.000 0.000 5.367
Os 0.000 0.000 2.806
Ni 1.366 1.895 4.086
W 1.366 1.895 1.362

---

[29]
4
Lattice="4.606 0.005 0.000 -1.377 4.395 0.000 0.000 0.000 2.795" Properties=species:S:1:pos:R:3 comment="PBE NiOs2W, optimized geometry" magmom_total_mub_per_fu=0.0 de_polymorph_ev_per_fu=0.58 space_group=Cmmm ef_ev_per_atom=0.159 pbc="T T T"
W 2.303 0.003 1.397
Os 1.614 2.200 0.000
Os 0.000 0.000 0.000
Ni -0.689 2.198 1.397

---

[30]
4
Lattice="4.719 -0.007 -0.018 1.544 4.459 0.018 -3.121 -2.241 2.739" Properties=species:S:1:pos:R:3 comment="PBE NiOsW2, optimized geometry" magmom_total_mub_per_fu=0.0 de_polymorph_ev_per_fu=0.01 space_group=I4/mmm ef_ev_per_atom=0.009 pbc="T T T"
W 3.132 2.226 0.000
W 6.262 4.452 0.000
Ni 0.777 2.222 1.379
Os 2.365 -0.011 1.361